Entry 1:
## BeZnSb2Mo (PBE-GGA)

Data for an optimized crystal structure of BeZnSb2Mo.

Computed properties:
The energy relative to the elements, uncorrected comes out at 0.6304 eV per atom. The space-group type is P4/mmm.

a b c (Å): 5.1743 4.5680 5.1743
angles (deg): 90.00 90.00 90.00
Positions (direct):
1 Sb 0.5000 0.0000 0.0000
2 Mo 0.0000 0.0000 0.0000
3 Sb 0.0000 0.0000 0.5000
4 Be 0.0000 0.5000 0.0000
5 Zn 0.5000 0.5000 0.5000

=====

Entry 2:
## ScBeMo (PBE-GGA)

Data for an optimized crystal structure of ScBeMo.

Computed properties:
The space-group type is F-43m.

a b c (Å): 4.3604 4.3604 4.3604
angles (deg): 60.00 60.00 60.00
Last column: magnetic moment on the atom in μB.
Positions (direct):
1 Mo 0.5000 0.5000 0.5000  2.21
2 Sc 0.7500 0.7500 0.7500  0.46
3 Be 0.0000 0.0000 0.0000  -0.06

=====

Entry 3:
## Sc2Be2Mo (PBE-GGA)

Data for an optimized crystal structure of Sc2Be2Mo.

Computed properties:
The space-group type is P4/mbm.

a b c (Å): 7.1096 7.1096 3.0986
angles (deg): 90.00 90.00 90.00
Positions (direct):
1 Sc 0.3140 0.1860 0.5000
2 Be 0.8914 0.6086 0.0000
3 Be 0.6086 0.1086 0.0000
4 Sc 0.6860 0.8140 0.5000
5 Be 0.1086 0.3914 0.0000
6 Sc 0.8140 0.3140 0.5000
7 Sc 0.1860 0.6860 0.5000
8 Be 0.3914 0.8914 0.0000
9 Mo 0.0000 0.0000 0.0000
10 Mo 0.5000 0.5000 0.0000

=====

Entry 4:
## ScBeMo3 (PBE-GGA)

Data for an optimized crystal structure of ScBeMo3.

Computed properties:
The space-group type is Pm-3m.

a b c (Å): 4.5812 4.5812 4.5812
angles (deg): 90.00 90.00 90.00
Positions (direct):
1 Mo 0.0000 0.5000 0.0000
2 Sc 0.0000 0.0000 0.0000
3 Be 0.5000 0.5000 0.5000
4 Mo 0.0000 0.0000 0.5000
5 Mo 0.5000 0.0000 0.0000

=====

Entry 5:
## ScBeMo (PBE-GGA)

Data for an optimized crystal structure of ScBeMo.

Computed properties:
The space-group type is I4mm.

a b c (Å): 6.2396 6.2396 6.2396
angles (deg): 154.25 154.25 36.73
Positions (direct):
1 Mo 0.3541 0.3541 0.0000
2 Be 0.9912 0.9912 0.0000
3 Sc 0.6546 0.6546 0.0000

=====

Entry 6:
## ScBeMo4 (PBE-GGA)

Data for an optimized crystal structure of ScBeMo4.

Computed properties:
The space-group type is F-43m.

a b c (Å): 5.2641 5.2641 5.2641
angles (deg): 60.00 60.00 60.00
Positions (direct):
1 Mo 0.6257 0.6257 0.1228
2 Mo 0.6257 0.1228 0.6257
3 Sc 0.2500 0.2500 0.2500
4 Mo 0.1228 0.6257 0.6257
5 Be 0.0000 0.0000 0.0000
6 Mo 0.6257 0.6257 0.6257

=====

Entry 7:
## ScBeMo (PBE-GGA)

Data for an optimized crystal structure of ScBeMo.

Computed properties:
The space-group type is F-43m.

a b c (Å): 4.1206 4.1206 4.1206
angles (deg): 60.00 60.00 60.00
Positions (direct):
1 Sc 0.5000 0.5000 0.5000
2 Be 0.7500 0.7500 0.7500
3 Mo 0.0000 0.0000 0.0000

=====

Entry 8:
## ScBe3Mo (PBE-GGA)

Data for an optimized crystal structure of ScBe3Mo.

Computed properties:
The space-group type is Pm-3m.

a b c (Å): 4.2751 4.2751 4.2751
angles (deg): 90.00 90.00 90.00
Positions (direct):
1 Be 0.0000 0.0000 0.5000
2 Be 0.0000 0.5000 0.0000
3 Be 0.5000 0.0000 0.0000
4 Sc 0.5000 0.5000 0.5000
5 Mo 0.0000 0.0000 0.0000

=====

Entry 9:
## ScBe3Mo (PBE-GGA)

Data for an optimized crystal structure of ScBe3Mo.

Computed properties:
The space-group type is Pm-3m.

a b c (Å): 4.2146 4.2146 4.2146
angles (deg): 90.00 90.00 90.00
Last column: magnetic moment on the atom in μB.
Positions (direct):
1 Sc 0.0000 0.0000 0.0000  1.39
2 Be 0.5000 0.0000 0.0000  0.34
3 Be 0.0000 0.0000 0.5000  0.18
4 Mo 0.5000 0.5000 0.5000  -1.37
5 Be 0.0000 0.5000 0.0000  0.25

=====

Entry 10:
## Sc4BeMo (PBE-GGA)

Data for an optimized crystal structure of Sc4BeMo.

Computed properties:
The space-group type is F-43m.

a b c (Å): 5.5309 5.5309 5.5309
angles (deg): 60.00 60.00 60.00
Positions (direct):
1 Sc 0.3738 0.8786 0.3738
2 Be 0.7500 0.7500 0.7500
3 Sc 0.3738 0.3738 0.8786
4 Sc 0.3738 0.3738 0.3738
5 Mo 0.0000 0.0000 0.0000
6 Sc 0.8786 0.3738 0.3738

=====

Entry 11:
## ScBeMo (PBE-GGA)

Data for an optimized crystal structure of ScBeMo.

Computed properties:
The space-group type is P3m1.

a b c (Å): 4.3938 4.3938 2.8153
angles (deg): 90.00 90.00 120.00
Positions (direct):
1 Be 0.0000 0.0000 0.0856
2 Sc 0.3333 0.6667 0.6737
3 Mo 0.6667 0.3333 0.2407

=====

Entry 12:
## ScBeMo3 (PBE-GGA)

Data for an optimized crystal structure of ScBeMo3.

Computed properties:
The space-group type is Pm-3m.

a b c (Å): 4.3437 4.3437 4.3437
angles (deg): 90.00 90.00 90.00
Positions (direct):
1 Mo 0.5000 0.0000 0.0000
2 Mo 0.0000 0.5000 0.0000
3 Sc 0.5000 0.5000 0.5000
4 Mo 0.0000 0.0000 0.5000
5 Be 0.0000 0.0000 0.0000

=====

For reference, density by record: 5.62 4.25 4.32 5.90 5.44 7.05 5.03 3.57 3.72 3.95 5.29 6.93 g/cm3.
For reference, M_tot by record: 0.00 2.93 0.00 0.00 0.00 0.00 0.00 0.00 1.09 0.00 0.00 0.00 μB/cell.
For reference, electronic total energy by record: -4.18 -5.64 -6.04 -6.31 -6.82 -8.51 -6.50 -5.03 -3.80 -5.91 -6.67 -7.91 eV/atom.